Crystalline NbCo2BRu at its relaxed geometry, computed with PBE-GGA.

a = 3.8547 Å, b = 3.8547 Å, c = 4.0534 Å
α = 90.00°, β = 90.00°, γ = 90.00°
With the nearest neighbours (Å) after each atom.
Space group P4/mmm (No. 123)
Unique sites:
1 Nb 0.0000 0.0000 0.0000 [1 per cell]  4 Ru 2.73, 8 Co 2.80
2 Co 0.0000 0.5000 0.5000 [2 per cell]  2 B 1.93
3 B 0.5000 0.5000 0.5000 [1 per cell]  4 Co 1.93, 2 Ru 2.03
4 Ru 0.5000 0.5000 0.0000 [1 per cell]  2 B 2.03

Energy (eV/atom): -8.233
Formation energy from the elements (eV per formula unit): -0.93

---

Crystalline CsSnSbI2 at its relaxed geometry, computed with PBE-GGA.

a = 6.9073 Å, b = 6.9073 Å, c = 6.5276 Å
α = 90.00°, β = 90.00°, γ = 90.00°
With the nearest neighbours (Å) after each atom.
Space group P4/mmm (No. 123)
Unique sites:
1 Cs 0.0000 0.0000 0.0000 [1 per cell]  2 Sb 3.26, 4 I 3.45
2 Sn 0.5000 0.5000 0.5000 [1 per cell]  8 I 4.75, 4 Sb 4.88
3 Sb 0.0000 0.0000 0.5000 [1 per cell]  2 Cs 3.26
4 I 0.0000 0.5000 0.0000 [2 per cell]  2 Cs 3.45

Energy (eV/atom): -1.847
ΔE to the lowest computed polymorph (eV per atom): 0.9829
Formation energy without anion corrections (eV/atom): 0.569